1.
Compound: NdDy4Al5
Source: Alexandria via LeMat-Bulk
Functional: PBE
Structure: relaxed

## Properties
Its total magnetic moment is 0.000 μB per formula unit. The value obtained for the formation energy is -387.7 meV/atom. Its electronic total energy is -4.577 eV/atom. The density of states at the Fermi level comes out at 4.08 states/eV per cell.

a = 3.619 Å, b = 3.619 Å, c = 18.175 Å
α = 90.00°, β = 90.00°, γ = 90.00°
Element x y z (fractional)
Nd 0.000 0.000 0.000
Dy 0.000 0.000 0.205
Dy 0.000 0.000 0.402
Dy 0.000 0.000 0.598
Dy 0.000 0.000 0.795
Al 0.500 0.500 0.108
Al 0.500 0.500 0.303
Al 0.500 0.500 0.500
Al 0.500 0.500 0.697
Al 0.500 0.500 0.892

=====

2.
Compound: SrAu5S4
Source: Alexandria via LeMat-Bulk
Functional: PBE
Structure: relaxed

## Properties
Its total magnetic moment is 0.000 μB per formula unit. Its electronic total energy is -3.798 eV/atom. The density of states at the Fermi level comes out at 5.70 states/eV per cell.

a = 4.378 Å, b = 7.644 Å, c = 8.616 Å
α = 115.17°, β = 104.72°, γ = 90.00°
Element x y z (fractional)
Sr 0.500 0.000 0.000
Au 0.128 0.603 0.257
Au 0.238 0.244 0.475
Au 0.762 0.756 0.525
Au 0.500 0.500 0.000
Au 0.872 0.397 0.743
S 0.631 0.801 0.263
S 0.895 0.733 0.790
S 0.369 0.199 0.737
S 0.105 0.267 0.210

=====

3.
Compound: V3SiBr
Source: Alexandria via LeMat-Bulk
Functional: PBE
Structure: relaxed

## Properties
Its total magnetic moment is 9.631 μB per formula unit. Its electronic total energy is -5.995 eV/atom. The density of states at the Fermi level comes out at 12.04 states/eV per cell.

a = 4.792 Å, b = 4.792 Å, c = 4.792 Å
α = 90.00°, β = 90.00°, γ = 90.00°
Element x y z (fractional)
Si 0.000 0.000 0.000
Br 0.500 0.500 0.500
V 0.000 0.500 0.000
V 0.000 0.000 0.500
V 0.500 0.000 0.000